Run i
Material: FePt3Cl
Method: DFT, PBE-GGA
State: relaxed

## Properties
As for the space group: Pm-3m, No. 221.

a = 4.658 Å, b = 4.658 Å, c = 4.658 Å
α = 90.00°, β = 90.00°, γ = 90.00°
Fractional coordinates of all 5 atoms:
Fe 0.000 0.000 0.000
Pt 0.000 0.000 0.500
Pt 0.000 0.500 0.000
Pt 0.500 0.000 0.000
Cl 0.500 0.500 0.500

Run ii
Material: FePt3Cl
Method: DFT, PBE-GGA
State: relaxed

## Properties
As for the space group: Pm-3m, No. 221.

a = 4.523 Å, b = 4.523 Å, c = 4.523 Å
α = 90.00°, β = 90.00°, γ = 90.00°
Fractional coordinates of all 5 atoms:
Fe 0.000 0.000 0.000
Pt 0.000 0.500 0.500
Pt 0.500 0.000 0.500
Pt 0.500 0.500 0.000
Cl 0.500 0.500 0.500

Most stable to least stable, the ends of the list are run i and run ii.

Run i
Material: FePtS2Cl
Method: DFT, PBE-GGA
State: relaxed

## Properties
As for the space group: P4/mmm, No. 123.

a = 4.724 Å, b = 4.724 Å, c = 4.806 Å
α = 90.00°, β = 90.00°, γ = 90.00°
Fractional coordinates of all 5 atoms:
Fe 0.000 0.000 0.000
Pt 0.500 0.500 0.500
S 0.000 0.500 0.500
S 0.500 0.000 0.500
Cl 0.500 0.500 0.000

Run ii
Material: FePtS2Cl
Method: DFT, PBE-GGA
State: relaxed

## Properties
As for the space group: P4/mmm, No. 123.

a = 4.120 Å, b = 4.120 Å, c = 5.480 Å
α = 90.00°, β = 90.00°, γ = 90.00°
Fractional coordinates of all 5 atoms:
Fe 0.000 0.000 0.000
Pt 0.000 0.000 0.500
S 0.000 0.500 0.000
S 0.500 0.000 0.000
Cl 0.500 0.500 0.500

Most stable to least stable, the ends of the list are run ii and run i.

Run i
Material: RbFe2Cl7
Method: DFT, PBE-GGA
State: relaxed

## Properties
As for the space group: Cmmm, No. 65.

a = 10.134 Å, b = 10.134 Å, c = 4.017 Å
α = 90.00°, β = 90.00°, γ = 134.13°
Fractional coordinates of all 10 atoms:
Rb 0.000 0.000 0.000
Fe 0.371 0.629 0.500
Fe 0.629 0.371 0.500
Cl 0.094 0.338 0.500
Cl 0.302 0.698 0.000
Cl 0.338 0.094 0.500
Cl 0.500 0.500 0.500
Cl 0.662 0.906 0.500
Cl 0.698 0.302 0.000
Cl 0.906 0.662 0.500

Run ii
Material: RbFe2Cl7
Method: DFT, PBE-GGA
State: relaxed

## Properties
As for the space group: Cmmm, No. 65.

a = 9.049 Å, b = 9.049 Å, c = 4.907 Å
α = 90.00°, β = 90.00°, γ = 103.85°
Fractional coordinates of all 10 atoms:
Rb 0.000 0.000 0.000
Fe 0.289 0.289 0.500
Fe 0.711 0.711 0.500
Cl 0.048 0.299 0.500
Cl 0.299 0.048 0.500
Cl 0.310 0.310 0.000
Cl 0.500 0.500 0.500
Cl 0.690 0.690 0.000
Cl 0.701 0.952 0.500
Cl 0.952 0.701 0.500

Most stable to least stable, the ends of the list are run ii and run i.

Run i
Material: RbFeSCl2
Method: DFT, PBE-GGA
State: relaxed

## Properties
As for the space group: P4/mmm, No. 123.

a = 5.115 Å, b = 5.115 Å, c = 4.244 Å
α = 90.00°, β = 90.00°, γ = 90.00°
Fractional coordinates of all 5 atoms:
Rb 0.000 0.000 0.000
Fe 0.500 0.500 0.500
S 0.500 0.500 0.000
Cl 0.000 0.500 0.500
Cl 0.500 0.000 0.500

Run ii
Material: RbFeSCl2
Method: DFT, PBE-GGA
State: relaxed

## Properties
As for the space group: P4/mmm, No. 123.

a = 5.894 Å, b = 5.894 Å, c = 5.845 Å
α = 90.00°, β = 90.00°, γ = 90.00°
Fractional coordinates of all 5 atoms:
Rb 0.000 0.000 0.000
Fe 0.500 0.500 0.500
S 0.000 0.000 0.500
Cl 0.000 0.500 0.000
Cl 0.500 0.000 0.000

Most stable to least stable, the ends of the list are run i and run ii.